(1)
# TlSb2Au PBEsol optimized geometry
data_TlSb2Au
_cell_length_a 5.1460
_cell_length_b 5.1611
_cell_length_c 5.1460
_cell_angle_alpha 60.10
_cell_angle_beta 90.00
_cell_angle_gamma 119.90
_space_group_name_H-M_alt 'P 1'
_space_group_IT_number 1
_space_group_name_Hall 'P 1'
loop_
_atom_site_label
_atom_site_type_symbol
_atom_site_fract_x
_atom_site_fract_y
_atom_site_fract_z
Tl1 Tl 0.5000 0.0000 0.5000
Sb1 Sb 0.2500 0.5000 0.2500
Au1 Au 0.7500 0.5000 0.7500
Sb2 Sb 0.0000 0.0000 0.0000
# Symmetry: I-4m2 (119)
# Magnetization in μB per cell: 0.0
# Calculated volume in Å³/cell: 96.92
# Uncorrected formation energy in eV per formula unit: 0.71

(2)
# Tl2SbAu PBEsol optimized geometry
data_Tl2SbAu
_cell_length_a 5.1998
_cell_length_b 5.1998
_cell_length_c 5.1998
_cell_angle_alpha 60.00
_cell_angle_beta 60.00
_cell_angle_gamma 60.00
_space_group_name_H-M_alt 'P 1'
_space_group_IT_number 1
_space_group_name_Hall 'P 1'
loop_
_atom_site_label
_atom_site_type_symbol
_atom_site_fract_x
_atom_site_fract_y
_atom_site_fract_z
Tl1 Tl 0.7500 0.7500 0.7500
Tl2 Tl 0.2500 0.2500 0.2500
Au1 Au 0.5000 0.5000 0.5000
Sb1 Sb 0.0000 0.0000 0.0000
# Symmetry: Fm-3m (225)
# Magnetization in μB per cell: 0.0
# Calculated volume in Å³/cell: 99.41
# Uncorrected formation energy in eV per formula unit: 0.57

(3)
# Tl2SbAu PBEsol optimized geometry
data_Tl2SbAu
_cell_length_a 3.4550
_cell_length_b 3.4550
_cell_length_c 8.4021
_cell_angle_alpha 90.00
_cell_angle_beta 90.00
_cell_angle_gamma 90.00
_space_group_name_H-M_alt 'P 1'
_space_group_IT_number 1
_space_group_name_Hall 'P 1'
loop_
_atom_site_label
_atom_site_type_symbol
_atom_site_fract_x
_atom_site_fract_y
_atom_site_fract_z
Tl1 Tl 0.0000 0.0000 0.9903
Tl2 Tl 0.5000 0.5000 0.2897
Au1 Au 0.0000 0.0000 0.5144
Sb1 Sb 0.5000 0.5000 0.7057
# Symmetry: P4mm (99)
# Magnetization in μB per cell: 0.0
# Calculated volume in Å³/cell: 100.29
# Uncorrected formation energy in eV per formula unit: 0.13

(4)
# Tl2SbAu PBEsol optimized geometry
data_Tl2SbAu
_cell_length_a 4.5223
_cell_length_b 4.5223
_cell_length_c 6.8098
_cell_angle_alpha 70.61
_cell_angle_beta 70.61
_cell_angle_gamma 60.00
_space_group_name_H-M_alt 'P 1'
_space_group_IT_number 1
_space_group_name_Hall 'P 1'
loop_
_atom_site_label
_atom_site_type_symbol
_atom_site_fract_x
_atom_site_fract_y
_atom_site_fract_z
Tl1 Tl 0.2264 0.2264 0.3209
Tl2 Tl 0.0035 0.0035 0.9896
Au1 Au 0.4766 0.4766 0.5702
Sb1 Sb 0.7731 0.7731 0.6808
# Symmetry: R3m (160)
# Magnetization in μB per cell: 0.0
# Calculated volume in Å³/cell: 111.40
# Uncorrected formation energy in eV per formula unit: -0.16